First-principles (PBE+U) data for an optimized crystal structure of PaMn2SnO6, as listed in Alexandria via LeMat-Bulk. Values from VASP.

Values from the calculation:
- DFT total energy: -7.996 eV per atom
- Magnetic moment: 9.4 Bohr magnetons per cell

Quantum ESPRESSO input file:
```
&SYSTEM
  ibrav = 0, nat = 10, ntyp = 4
/
ATOMIC_SPECIES
O 16.00 O.upf
Pa 231.04 Pa.upf
Sn 118.71 Sn.upf
Mn 54.94 Mn.upf
CELL_PARAMETERS angstrom
-4.922 -2.084 1.813
-0.293 -5.312 1.885
-0.701 -0.874 5.877
ATOMIC_POSITIONS angstrom
O -3.288 -2.631 3.057
Pa -4.638 -6.512 6.279
Sn -1.674 -2.367 1.521
Mn -0.788 -1.008 5.488
O -1.185 -3.116 5.438
O -4.844 -5.410 4.357
O -4.082 -2.726 5.951
Mn -3.039 -4.259 4.428
O -1.482 -5.499 3.636
O -2.805 -5.335 6.560
```